# 1
Material: Gd3In3Ag2Au
Method: DFT, PBE
State: optimized geometry

It has space group P-62m (No. 189), with a = 7.8655 Å, b = 7.8655 Å, c = 3.9877 Å, α = 90.00°, β = 90.00° and γ = 120.00°. The distinct sites, in fractional coordinates, are Gd at (0.0000, 0.4011, 0.0000), In at (0.0000, 0.7370, 0.5000), Ag at (0.3333, 0.6667, 0.5000) and Au at (0.0000, 0.0000, 0.0000).

The calculation puts the total energy at -3.980 eV per atom.

***

# 2
Material: GdMgAgAu
Method: DFT, PBE
State: optimized geometry

It has space group Pmn2_1 (No. 31), with a = 4.9704 Å, b = 4.9852 Å, c = 6.8468 Å, α = 90.00°, β = 90.00° and γ = 90.00°. The distinct sites, in fractional coordinates, are Gd at (0.0000, 0.2358, 0.0000), Mg at (0.0000, 0.2499, 0.4999), Ag at (0.0000, 0.7352, 0.2487) and Au at (0.0000, 0.7357, 0.7514).

The calculation puts the total energy at -3.623 eV per atom. The value obtained for the polymorph energy (0 for the lowest one) is 0.0000 eV/atom.

***

# 3
Material: GdMgAgAu
Method: DFT, PBE
State: optimized geometry

It has space group Pmm2 (No. 25), with a = 4.9629 Å, b = 6.8690 Å, c = 4.9783 Å, α = 90.00°, β = 90.00° and γ = 90.00°. The distinct sites, in fractional coordinates, are Gd at (0.0000, 0.0000, 0.0000), Gd at (0.5000, 0.5000, 0.4718), Mg at (0.0000, 0.5000, 0.9848), Mg at (0.5000, 0.0000, 0.4846), Ag at (0.5000, 0.2514, 0.9703) and Au at (0.0000, 0.2487, 0.4994).

The calculation puts the total energy at -3.619 eV per atom. The value obtained for the polymorph energy (0 for the lowest one) is 0.0036 eV/atom.

***

# 4
Material: GdMg2AgAu4
Method: DFT, PBE
State: optimized geometry

It has space group P4/mmm (No. 123), with a = 4.8305 Å, b = 4.8305 Å, c = 6.7870 Å, α = 90.00°, β = 90.00° and γ = 90.00°. The distinct sites, in fractional coordinates, are Gd at (0.0000, 0.0000, 0.0000), Mg at (0.0000, 0.0000, 0.5000), Mg at (0.5000, 0.5000, 0.0000), Ag at (0.5000, 0.5000, 0.5000) and Au at (0.0000, 0.5000, 0.2617).

The calculation puts the total energy at -3.484 eV per atom.